# 1
CePt4Rh, relaxed, DFT GGA-PBE; space group = No. 187; energy relative to the lowest polymorph listed for this composition = 0.000 eV/atom; calculated formation energy = -665 meV per atom
1.0
-3.022 4.417 0.274
1.196 -2.709 4.466
3.648 2.464 0.518
Ce Pt Rh
1 4 1
direct
0.000 0.000 0.000
0.667 0.333 0.000
0.499 0.999 0.500
0.001 0.501 0.500
0.499 0.501 0.500
0.333 0.667 0.000



# 2
Pr2ThSe5, relaxed, DFT GGA-PBE; space group = No. 62; formation energy from raw total energies = -1862 meV per atom; energy relative to the lowest polymorph listed for this composition = 0.000 eV/atom
1.0
7.974 0.000 0.000
0.000 8.609 0.000
0.000 0.000 12.696
Pr Th Se
8 4 20
direct
0.482 0.498 0.821
0.518 0.502 0.179
0.982 0.502 0.679
0.518 0.998 0.179
0.018 0.498 0.321
0.482 0.002 0.821
0.018 0.002 0.321
0.982 0.998 0.679
0.422 0.250 0.508
0.578 0.750 0.492
0.922 0.750 0.992
0.078 0.250 0.008
0.041 0.250 0.501
0.959 0.750 0.499
0.541 0.750 0.999
0.459 0.250 0.001
0.338 0.956 0.600
0.662 0.044 0.400
0.838 0.044 0.900
0.662 0.456 0.400
0.162 0.956 0.100
0.338 0.544 0.600
0.162 0.544 0.100
0.838 0.456 0.900
0.201 0.250 0.784
0.799 0.750 0.216
0.701 0.750 0.716
0.299 0.250 0.284
0.674 0.250 0.684
0.326 0.750 0.316
0.174 0.750 0.816
0.826 0.250 0.184



# 3
Tb2PmTm4Sc, relaxed, DFT GGA-PBE; space group = No. 15; calculated formation energy = 445 meV per atom
1.0
9.182 -0.053 -1.728
-0.059 9.182 -1.728
-5.777 -5.781 8.185
Tb Pm Tm Sc
4 2 8 2
direct
0.500 0.000 0.000
0.500 0.000 0.500
0.000 0.000 0.500
0.500 0.500 0.000
0.000 0.500 0.000
0.000 0.500 0.500
0.240 0.761 0.001
0.739 0.260 0.500
0.261 0.740 0.500
0.760 0.239 0.999
0.749 0.749 0.986
0.751 0.751 0.514
0.249 0.249 0.486
0.251 0.251 0.014
0.500 0.500 0.500
0.000 0.000 0.000



# 4
TaCdP, relaxed, DFT GGA-PBE; space group = No. 12; energy relative to the lowest polymorph listed for this composition = 0.139 eV/atom; calculated formation energy = -228 meV per atom
1.0
4.274 0.000 0.002
0.000 3.116 0.000
-2.544 0.000 17.635
Ta Cd P
4 4 4
direct
0.720 0.000 0.943
0.280 0.000 0.057
0.720 0.500 0.443
0.280 0.500 0.557
0.220 0.000 0.706
0.780 0.000 0.294
0.220 0.500 0.206
0.780 0.500 0.794
0.777 0.000 0.556
0.223 0.000 0.444
0.777 0.500 0.056
0.223 0.500 0.944



# 5
Ca2InPt, relaxed, DFT GGA-PBE; space group = No. 10; calculated formation energy = -586 meV per atom
1.0
5.050 0.000 0.000
0.000 5.040 -0.005
0.000 5.036 3.827
Ca Pt In
2 1 1
direct
0.000 0.000 0.000
0.500 0.500 0.000
0.000 0.000 0.500
0.500 0.500 0.500



# 6
La4SnTeAs2, relaxed, DFT GGA-PBE; space group = No. 10; formation energy from raw total energies = -1389 meV per atom
1.0
4.417 0.000 0.000
0.000 7.872 -0.227
0.000 2.703 7.304
La Sn Te As
4 1 1 2
direct
0.000 0.771 0.739
0.000 0.229 0.261
0.500 0.769 0.244
0.500 0.231 0.756
0.000 0.500 0.500
0.500 0.500 0.000
0.000 0.000 0.000
0.500 0.000 0.500



# 7
NbTlCu2F, relaxed, DFT GGA-PBE; space group = No. 123; formation energy from raw total energies = 902 meV per atom
1.0
4.772 0.000 0.000
0.000 5.761 0.000
0.000 0.000 4.772
Tl Nb Cu F
1 1 2 1
direct
0.000 0.500 0.000
0.000 0.000 0.000
0.000 0.000 0.500
0.500 0.000 0.000
0.500 0.500 0.500



# 8
PaAlGaPt, relaxed, DFT GGA-PBE; space group = No. 216; calculated formation energy = -564 meV per atom
1.0
-2.275 3.951 1.419
-4.276 1.081 -1.830
-3.914 -0.343 2.714
Pa Ga Pt Al
1 1 1 1
direct
0.000 0.000 0.000
0.250 0.250 0.250
0.750 0.750 0.750
0.500 0.500 0.500



Uncorrected energy for every record listed, in sequence, given in eV/atom: -6.9064 -6.1619 -4.3338 -6.2874 -3.7815 -5.9080 -3.5978 -6.1403.